Ac3TlSi4, optimized geometry, DFT PBE; DFT total energy = -39.919 eV/f.u.; ρ = 7.50 g cm⁻³; DOS(E_F) = 3.74 states/eV per cell; formation energy (no corrections) = -442 meV per atom; spin magnetization = 0.0000 μB per atom
1.0
10.365 -2.260 0.000
10.365 2.260 0.000
-0.004 0.000 4.719
Ac Tl Si
3 1 4
direct
0.000 0.000 0.000 Ac
0.163 0.163 0.500 Ac
0.837 0.837 0.500 Ac
0.500 0.500 0.500 Tl
0.275 0.275 0.000 Si
0.388 0.388 0.000 Si
0.612 0.612 0.000 Si
0.725 0.725 0.000 Si